Entry 1:
## PIrC (PBE-GGA)

Data for crystalline PIrC at its relaxed geometry.

* V: 12.3 A^3/atom
* ΔH_f (0 K): 0.65 eV per formula unit
* distance to the lowest polymorph of the same formula: 42 meV per atom
* total DFT energy (no corrections): -7.6153 eV per atom
* space-group type: No. 38

a = 2.845 Å, b = 2.905 Å, c = 8.912 Å
α = 90.00°, β = 90.00°, γ = 90.00°
Sites, in units of the cell vectors:
C: 0.500 0.500 0.030
C: 0.500 0.000 0.530
P: 0.500 0.000 0.146
P: 0.500 0.500 0.646
Ir: 0.000 0.500 0.854
Ir: 0.000 0.000 0.354

=====

Entry 2:
## PIrC (PBE-GGA)

Data for crystalline PIrC at its relaxed geometry.

* V: 11.7 A^3/atom
* ΔH_f (0 K): 0.52 eV per formula unit
* distance to the lowest polymorph of the same formula: 0 meV per atom
* total DFT energy (no corrections): -7.6572 eV per atom
* space-group type: No. 164

a = 2.872 Å, b = 2.873 Å, c = 12.428 Å
α = 125.31°, β = 117.51°, γ = 59.99°
Sites, in units of the cell vectors:
P: 0.831 0.496 0.665
P: 0.169 0.504 0.335
Ir: 0.947 0.062 0.114
Ir: 0.053 0.938 0.886
C: 0.922 0.344 0.422
C: 0.078 0.656 0.578

=====

Entry 3:
## PIrC3 (PBE-GGA)

Data for crystalline PIrC3 at its relaxed geometry.

* V: 12.8 A^3/atom
* ΔH_f (0 K): 11.92 eV per formula unit
* distance to the lowest polymorph of the same formula: 270 meV per atom
* total DFT energy (no corrections): -6.0038 eV per atom
* space-group type: No. 221

a = 4.001 Å, b = 4.001 Å, c = 4.001 Å
α = 90.00°, β = 90.00°, γ = 90.00°
Sites, in units of the cell vectors:
P: 0.500 0.500 0.500
C: 0.000 0.000 0.500
C: 0.000 0.500 0.000
C: 0.500 0.000 0.000
Ir: 0.000 0.000 0.000

=====

Entry 4:
## PIrC (PBE-GGA)

Data for crystalline PIrC at its relaxed geometry.

* V: 12.1 A^3/atom
* ΔH_f (0 K): 1.30 eV per formula unit
* distance to the lowest polymorph of the same formula: 258 meV per atom
* total DFT energy (no corrections): -7.3996 eV per atom
* space-group type: No. 8

a = 2.955 Å, b = 4.507 Å, c = 5.623 Å
α = 90.00°, β = 103.87°, γ = 90.00°
Sites, in units of the cell vectors:
Ir: 0.371 0.000 0.845
Ir: 0.371 0.500 0.345
C: 0.539 0.000 0.231
C: 0.539 0.500 0.731
P: 0.120 0.500 0.919
P: 0.120 0.000 0.419

=====

Entry 5:
## PIrPt2C (PBE-GGA)

Data for crystalline PIrPt2C at its relaxed geometry.

* V: 21.4 A^3/atom
* ΔH_f (0 K): 11.06 eV per formula unit
* total DFT energy (no corrections): -4.9035 eV per atom
* space-group type: No. 123

a = 5.000 Å, b = 4.284 Å, c = 5.000 Å
α = 90.00°, β = 90.00°, γ = 90.00°
Sites, in units of the cell vectors:
Ir: 0.000 0.000 0.000
C: 0.500 0.500 0.500
Pt: 0.000 0.000 0.500
Pt: 0.500 0.000 0.000
P: 0.000 0.500 0.000

=====

Entry 6:
## RbP2IrC (PBE-GGA)

Data for crystalline RbP2IrC at its relaxed geometry.

* V: 21.1 A^3/atom
* ΔH_f (0 K): 17.49 eV per formula unit
* total DFT energy (no corrections): -2.4758 eV per atom
* space-group type: No. 123

a = 4.978 Å, b = 4.251 Å, c = 4.978 Å
α = 90.00°, β = 90.00°, γ = 90.00°
Sites, in units of the cell vectors:
Rb: 0.000 0.000 0.000
Ir: 0.500 0.500 0.500
P: 0.500 0.000 0.000
P: 0.000 0.000 0.500
C: 0.000 0.500 0.000

=====

> Among the records above, which one has the lowest total DFT energy (no corrections)?

number 2